1.
NaHf2ReO | PBE | relaxed

Summary:
For the raw formation energy, the calculation gives -0.2256 eV per atom.

Unit cell a=4.511 b=4.511 c=4.101 alpha=90.00 beta=90.00 gamma=90.00
Sites, in units of the cell vectors:
1 Na 0.000 0.000 0.000
2 Hf 0.000 0.500 0.500
3 Hf 0.500 0.000 0.500
4 Re 0.500 0.500 0.000
5 O 0.500 0.500 0.500


2.
Sm4ScSb4 | PBE | relaxed

Summary:
For the raw formation energy, the calculation gives -0.6396 eV per atom.

Unit cell a=7.461 b=7.461 c=7.461 alpha=115.85 beta=115.85 gamma=97.35
Sites, in units of the cell vectors:
1 Sm 0.000 0.500 0.500
2 Sm 0.173 0.173 0.000
3 Sm 0.500 0.000 0.500
4 Sm 0.827 0.827 0.000
5 Sc 0.500 0.500 0.000
6 Sb 0.134 0.593 0.000
7 Sb 0.407 0.407 0.541
8 Sb 0.593 0.134 0.000
9 Sb 0.866 0.866 0.459


3.
Zn2CdPd | PBE | relaxed

Summary:
The calculation puts the formation energy at -244 meV/atom.

Unit cell a=4.032 b=4.032 c=3.957 alpha=90.00 beta=90.00 gamma=90.00
Sites, in units of the cell vectors:
1 Zn 0.000 0.500 0.000
2 Zn 0.500 0.000 0.000
3 Cd 0.000 0.000 0.500
4 Pd 0.500 0.500 0.500


4.
Co2TcMoH | PBE | relaxed

Summary:
The energy relative to the lowest polymorph listed for this composition comes out at 5.452 eV/f.u.

Unit cell a=4.498 b=4.498 c=3.197 alpha=90.00 beta=90.00 gamma=90.00
Sites, in units of the cell vectors:
1 Co 0.000 0.500 0.000
2 Co 0.500 0.000 0.000
3 Tc 0.000 0.000 0.500
4 Mo 0.500 0.500 0.000
5 H 0.500 0.500 0.500


5.
HfInAu | PBE | relaxed

Summary:
The calculation puts the formation energy at -275 meV/atom.

Unit cell a=4.694 b=6.117 c=8.469 alpha=90.00 beta=90.00 gamma=90.00
Sites, in units of the cell vectors:
1 Hf 0.000 0.245 0.000
2 Hf 0.000 0.755 0.000
3 Hf 0.500 0.255 0.500
4 Hf 0.500 0.745 0.500
5 In 0.000 0.000 0.329
6 In 0.000 0.000 0.671
7 In 0.500 0.500 0.171
8 In 0.500 0.500 0.829
9 Au 0.000 0.500 0.337
10 Au 0.000 0.500 0.663
11 Au 0.500 0.000 0.163
12 Au 0.500 0.000 0.837


6.
BPHAu | PBE | relaxed

Summary:
The energy relative to the lowest polymorph listed for this composition comes out at 0.681 eV/f.u.

Unit cell a=3.209 b=4.566 c=5.055 alpha=98.30 beta=102.32 gamma=101.39
Sites, in units of the cell vectors:
1 B 0.000 0.000 0.000
2 P 0.389 0.825 0.836
3 H 0.113 0.185 0.216
4 Au 0.254 0.293 0.689


7.
Fe2AgAs | PBE | relaxed

Summary:
The calculation puts the formation energy at 169 meV/atom.

Unit cell a=2.993 b=2.993 c=6.748 alpha=90.00 beta=90.00 gamma=90.00
Sites, in units of the cell vectors:
1 Fe 0.000 0.000 0.000
2 Fe 0.500 0.500 0.192
3 Ag 0.000 0.000 0.458
4 As 0.500 0.500 0.797


8.
Ta2AgIr | PBE | relaxed

Summary:
The calculation puts the formation energy at -28 meV/atom.

Unit cell a=9.421 b=2.928 c=5.031 alpha=90.00 beta=101.61 gamma=90.00
Sites, in units of the cell vectors:
1 Ta 0.000 0.000 0.000
2 Ta 0.247 0.500 0.287
3 Ta 0.500 0.500 0.000
4 Ta 0.747 0.000 0.287
5 Ag 0.243 0.000 0.773
6 Ag 0.743 0.500 0.773
7 Ir 0.490 0.000 0.495
8 Ir 0.990 0.500 0.495


9.
Fe3MoAu | PBE | relaxed

Summary:
The energy relative to the lowest polymorph listed for this composition comes out at 2.079 eV/f.u. The calculation puts the formation energy at 1835 meV/atom.

Unit cell a=4.634 b=4.634 c=4.634 alpha=90.00 beta=90.00 gamma=90.00
Sites, in units of the cell vectors:
1 Fe 0.000 0.000 0.500
2 Fe 0.000 0.500 0.000
3 Fe 0.500 0.000 0.000
4 Mo 0.500 0.500 0.500
5 Au 0.000 0.000 0.000


10.
KOsCF2 | PBE | relaxed

Summary:
For the raw formation energy, the calculation gives -0.5437 eV per atom.

Unit cell a=4.426 b=4.426 c=3.855 alpha=90.00 beta=90.00 gamma=90.00
Sites, in units of the cell vectors:
1 K 0.000 0.000 0.000
2 Os 0.500 0.500 0.500
3 C 0.500 0.500 0.000
4 F 0.000 0.500 0.500
5 F 0.500 0.000 0.500


11.
NaAcNdSb | PBE | relaxed

Summary:
For the raw formation energy, the calculation gives -0.3475 eV per atom.

Unit cell a=7.978 b=7.978 c=7.978 alpha=90.00 beta=90.00 gamma=90.00
Sites, in units of the cell vectors:
1 Na 0.000 0.000 0.000
2 Na 0.000 0.500 0.500
3 Na 0.500 0.000 0.500
4 Na 0.500 0.500 0.000
5 Ac 0.250 0.250 0.250
6 Ac 0.250 0.750 0.750
7 Ac 0.750 0.250 0.750
8 Ac 0.750 0.750 0.250
9 Nd 0.250 0.250 0.750
10 Nd 0.250 0.750 0.250
11 Nd 0.750 0.250 0.250
12 Nd 0.750 0.750 0.750
13 Sb 0.000 0.000 0.500
14 Sb 0.000 0.500 0.000
15 Sb 0.500 0.000 0.000
16 Sb 0.500 0.500 0.500


12.
Li2AcTl6 | PBE | relaxed

Summary:
The calculation puts the formation energy at 31 meV/atom.

Unit cell a=5.781 b=5.781 c=10.341 alpha=90.00 beta=90.00 gamma=120.00
Sites, in units of the cell vectors:
1 Li 0.333 0.667 0.000
2 Li 0.667 0.333 0.000
3 Ac 0.000 0.000 0.500
4 Tl 0.000 0.352 0.233
5 Tl 0.000 0.648 0.767
6 Tl 0.352 0.000 0.233
7 Tl 0.352 0.352 0.767
8 Tl 0.648 0.000 0.767
9 Tl 0.648 0.648 0.233


13.
Ti2Nb2I7 | PBE | relaxed

Summary:
For the raw formation energy, the calculation gives -0.4543 eV per atom.

Unit cell a=5.963 b=9.128 c=17.710 alpha=85.81 beta=89.65 gamma=71.27
Sites, in units of the cell vectors:
1 Ti 0.029 0.444 0.372
2 Ti 0.209 0.554 0.909
3 Ti 0.791 0.446 0.091
4 Ti 0.971 0.556 0.628
5 Nb 0.210 0.397 0.515
6 Nb 0.354 0.467 0.056
7 Nb 0.646 0.533 0.944
8 Nb 0.790 0.603 0.485
9 I 0.104 0.288 0.977
10 I 0.104 0.357 0.220
11 I 0.123 0.238 0.650
12 I 0.173 0.144 0.436
13 I 0.323 0.825 0.892
14 I 0.436 0.666 0.161
15 I 0.473 0.548 0.607
16 I 0.527 0.452 0.393
17 I 0.564 0.334 0.839
18 I 0.677 0.175 0.108
19 I 0.827 0.856 0.564
20 I 0.877 0.762 0.350
21 I 0.896 0.643 0.780
22 I 0.896 0.712 0.023


14.
LiMg5Zn2Cd | PBE | relaxed

Summary:
The calculation puts the formation energy at 6 meV/atom.

Unit cell a=8.483 b=8.483 c=8.483 alpha=127.46 beta=127.46 gamma=77.51
Sites, in units of the cell vectors:
1 Li 0.250 0.750 0.500
2 Li 0.750 0.250 0.500
3 Mg 0.000 0.000 0.000
4 Mg 0.077 0.577 0.913
5 Mg 0.164 0.077 0.500
6 Mg 0.336 0.836 0.913
7 Mg 0.423 0.336 0.500
8 Mg 0.500 0.500 0.000
9 Mg 0.577 0.664 0.500
10 Mg 0.664 0.164 0.087
11 Mg 0.836 0.923 0.500
12 Mg 0.923 0.423 0.087
13 Zn 0.111 0.389 0.500
14 Zn 0.389 0.889 0.279
15 Zn 0.611 0.111 0.721
16 Zn 0.889 0.611 0.500
17 Cd 0.250 0.250 0.000
18 Cd 0.750 0.750 0.000


15.
TePRhO2 | PBE | relaxed

Summary:
The energy relative to the lowest polymorph listed for this composition comes out at 0.974 eV/f.u. For the raw formation energy, the calculation gives 0.1552 eV per atom.

Unit cell a=3.852 b=3.852 c=5.502 alpha=90.00 beta=90.00 gamma=90.00
Sites, in units of the cell vectors:
1 Te 0.000 0.000 0.000
2 P 0.000 0.000 0.500
3 Rh 0.500 0.500 0.500
4 O 0.000 0.500 0.000
5 O 0.500 0.000 0.000


16.
LiPuZnPb | PBE | relaxed

Summary:
The calculation puts the formation energy at -108 meV/atom.

Unit cell a=7.191 b=7.191 c=7.191 alpha=90.00 beta=90.00 gamma=90.00
Sites, in units of the cell vectors:
1 Li 0.000 0.000 0.000
2 Li 0.000 0.500 0.500
3 Li 0.500 0.000 0.500
4 Li 0.500 0.500 0.000
5 Pu 0.000 0.000 0.500
6 Pu 0.000 0.500 0.000
7 Pu 0.500 0.000 0.000
8 Pu 0.500 0.500 0.500
9 Zn 0.250 0.250 0.750
10 Zn 0.250 0.750 0.250
11 Zn 0.750 0.250 0.250
12 Zn 0.750 0.750 0.750
13 Pb 0.250 0.250 0.250
14 Pb 0.250 0.750 0.750
15 Pb 0.750 0.250 0.750
16 Pb 0.750 0.750 0.250


17.
LaCd4Ag | PBE | relaxed

Summary:
The energy relative to the lowest polymorph listed for this composition comes out at 0.048 eV/f.u. The calculation puts the formation energy at -217 meV/atom.

Unit cell a=9.165 b=4.974 c=6.577 alpha=90.00 beta=101.93 gamma=90.00
Sites, in units of the cell vectors:
1 La 0.000 0.000 0.000
2 La 0.500 0.500 0.000
3 Cd 0.127 0.500 0.730
4 Cd 0.197 0.500 0.277
5 Cd 0.303 0.000 0.723
6 Cd 0.373 0.000 0.270
7 Cd 0.627 0.000 0.730
8 Cd 0.697 0.000 0.277
9 Cd 0.803 0.500 0.723
10 Cd 0.873 0.500 0.270
11 Ag 0.000 0.000 0.500
12 Ag 0.500 0.500 0.500


18.
Rb2Na5Hg4 | PBE | relaxed

Summary:
The calculation puts the formation energy at -159 meV/atom.

Unit cell a=8.348 b=8.348 c=10.170 alpha=126.45 beta=126.45 gamma=49.78
Sites, in units of the cell vectors:
1 Rb 0.204 0.204 0.253
2 Rb 0.796 0.796 0.747
3 Na 0.209 0.718 0.293
4 Na 0.282 0.791 0.707
5 Na 0.500 0.500 0.000
6 Na 0.718 0.209 0.293
7 Na 0.791 0.282 0.707
8 Hg 0.186 0.186 0.604
9 Hg 0.278 0.278 0.968
10 Hg 0.722 0.722 0.032
11 Hg 0.814 0.814 0.396


19.
B2C | PBE | relaxed

Summary:
The energy relative to the lowest polymorph listed for this composition comes out at 0.755 eV/f.u. The calculation puts the formation energy at 437 meV/atom.

Unit cell a=4.407 b=4.407 c=7.346 alpha=109.62 beta=109.62 gamma=36.05
Sites, in units of the cell vectors:
1 B 0.000 0.000 0.000
2 B 0.026 0.026 0.732
3 B 0.349 0.349 0.919
4 B 0.467 0.467 0.373
5 B 0.558 0.558 0.892
6 B 0.738 0.738 0.606
7 B 0.786 0.786 0.044
8 B 0.883 0.883 0.484
9 C 0.149 0.149 0.221
10 C 0.211 0.211 0.704
11 C 0.313 0.313 0.170
12 C 0.655 0.655 0.345


Computed total DFT energy (no corrections) (eV per atom) in order:
-7.95, -5.27, -2.41, -6.66, -5.60, -4.59, -5.94, -8.88, -6.06, -5.60, -3.93, -2.43, -4.71, -1.48, -5.01, -5.41, -2.12, -1.04, -7.09